A geometry-optimized Ca8Cd2In structure, computed with PBE.

It has space group Immm (No. 71), with a = 5.327 Å, b = 8.917 Å, c = 15.610 Å, α = 90.00°, β = 90.00° and γ = 90.00°. The asymmetric unit holds Ca at (0.000, 0.000, 0.140), Ca at (0.000, 0.221, 0.340), Ca at (0.000, 0.308, 0.000), Cd at (0.000, 0.500, 0.190) and In at (0.000, 0.500, 0.500).

The calculation puts the formation energy at -0.1959 eV/atom. As for the density of states at the Fermi level: 0.63 states/eV/atom. The value obtained for the total moment is 0.00 μB per formula unit. The energy comes out at -2.07 eV per atom.